1.
Hf5CoAs3 | PBEsol | relaxed

abc: 17.210 3.636 10.317
angles: 90.00 90.00 90.00
Space group Pnma (No. 62)
Symmetry-distinct sites (fractional):
Hf 0.022 0.250 0.120
Hf 0.077 0.750 0.557
Hf 0.132 0.250 0.815
Hf 0.167 0.750 0.258
Hf 0.224 0.250 0.485
Co 0.092 0.250 0.368
As 0.008 0.750 0.312
As 0.119 0.750 0.009
As 0.219 0.750 0.686

Properties
Crystal system   orthorhombic
Total moment   0.000 μB/atom
Total DFT energy (no corrections)   -335.5 eV for the cell shown
Energy relative to the elements   -0.924 eV/atom

***

2.
HfCo3As | PBEsol | relaxed

abc: 4.446 4.446 4.446
angles: 90.00 90.00 90.00
Space group Pm-3m (No. 221)
Symmetry-distinct sites (fractional):
Hf 0.000 0.000 0.000
Co 0.000 0.000 0.500
As 0.500 0.500 0.500

Properties
Crystal system   cubic
Total moment   0.384 μB/atom
Total DFT energy (no corrections)   -31.4 eV for the cell shown
Energy relative to the elements   1.484 eV/atom